1.
Compound: UPb2O5
Source: the Alexandria database
Functional: PBE-GGA
Structure: optimized geometry

Cell lengths 7.091, 7.091, 8.335 Å; angles 114.28, 114.28, 49.66 degrees
Element x y z (fractional)
1 U 0.000 0.000 0.000
2 U 0.000 0.000 0.500
3 Pb 0.325 0.361 0.711
4 Pb 0.361 0.325 0.211
5 Pb 0.639 0.675 0.789
6 Pb 0.675 0.639 0.289
7 O 0.017 0.662 0.356
8 O 0.114 0.886 0.750
9 O 0.188 0.634 0.993
10 O 0.338 0.983 0.144
11 O 0.366 0.812 0.507
12 O 0.634 0.188 0.493
13 O 0.662 0.017 0.856
14 O 0.812 0.366 0.007
15 O 0.886 0.114 0.250
16 O 0.983 0.338 0.644

Values from the calculation:
**Total magnetization**: 0.00 Bohr magnetons per cell
**D(E_F)**: 0.00 states/eV/f.u.
**ΔE_f (raw)**: -2166 meV/atom
**Mass density**: 8.5 g/cm3
**Space-group type**: C2/c (15)

***

2.
Compound: U2PbO8
Source: the Alexandria database
Functional: PBE-GGA
Structure: optimized geometry

Cell lengths 6.380, 6.380, 4.060 Å; angles 91.80, 91.80, 117.95 degrees
Element x y z (fractional)
1 U 0.183 0.817 0.000
2 U 0.817 0.183 0.000
3 Pb 0.500 0.500 0.500
4 O 0.061 0.061 0.357
5 O 0.159 0.431 0.974
6 O 0.237 0.763 0.500
7 O 0.431 0.159 0.974
8 O 0.569 0.841 0.026
9 O 0.763 0.237 0.500
10 O 0.841 0.569 0.026
11 O 0.939 0.939 0.643

Values from the calculation:
**Total magnetization**: 0.00 Bohr magnetons per cell
**ΔE_f (raw)**: -2347 meV/atom
**Mass density**: 9.2 g/cm3
**Space-group type**: C2/m (12)

***

3.
Compound: U2Pb2O7
Source: the Alexandria database
Functional: PBE-GGA
Structure: optimized geometry

Cell lengths 8.058, 8.058, 8.058 Å; angles 60.00, 60.00, 60.00 degrees
Element x y z (fractional)
1 U 0.000 0.000 0.000
2 U 0.000 0.000 0.500
3 U 0.000 0.500 0.000
4 U 0.500 0.000 0.000
5 Pb 0.000 0.500 0.500
6 Pb 0.500 0.000 0.500
7 Pb 0.500 0.500 0.000
8 Pb 0.500 0.500 0.500
9 O 0.069 0.069 0.681
10 O 0.069 0.681 0.069
11 O 0.069 0.681 0.681
12 O 0.319 0.319 0.931
13 O 0.319 0.931 0.319
14 O 0.319 0.931 0.931
15 O 0.375 0.375 0.375
16 O 0.625 0.625 0.625
17 O 0.681 0.069 0.069
18 O 0.681 0.069 0.681
19 O 0.681 0.681 0.069
20 O 0.931 0.319 0.319
21 O 0.931 0.319 0.931
22 O 0.931 0.931 0.319

Values from the calculation:
**ΔE to the lowest computed polymorph**: 0.000 eV per atom
**Total magnetization**: 4.00 Bohr magnetons per cell
**D(E_F)**: 2.01 states/eV/f.u.
**ΔE_f (raw)**: -2481 meV/atom
**Mass density**: 9.0 g/cm3
**Space-group type**: Fd-3m (227)

***

4.
Compound: UPbO4
Source: the Alexandria database
Functional: PBE-GGA
Structure: optimized geometry

Cell lengths 5.978, 6.038, 5.795 Å; angles 90.00, 90.00, 90.00 degrees
Element x y z (fractional)
1 U 0.000 0.011 0.000
2 U 0.500 0.989 0.500
3 Pb 0.000 0.590 0.561
4 Pb 0.500 0.410 0.061
5 O 0.000 0.295 0.859
6 O 0.000 0.734 0.156
7 O 0.233 0.867 0.733
8 O 0.267 0.133 0.233
9 O 0.500 0.266 0.656
10 O 0.500 0.705 0.359
11 O 0.733 0.133 0.233
12 O 0.767 0.867 0.733

Values from the calculation:
**ΔE to the lowest computed polymorph**: 0.038 eV per atom
**Total magnetization**: 0.00 Bohr magnetons per cell
**D(E_F)**: 0.00 states/eV/f.u.
**ΔE_f (raw)**: -2463 meV/atom
**Mass density**: 8.1 g/cm3
**Space-group type**: Pmn2_1 (31)

***

5.
Compound: U2PbO6
Source: the Alexandria database
Functional: PBE-GGA
Structure: optimized geometry

Cell lengths 5.969, 5.969, 5.034 Å; angles 90.00, 90.00, 120.00 degrees
Element x y z (fractional)
1 U 0.333 0.667 0.000
2 U 0.667 0.333 0.000
3 Pb 0.000 0.000 0.500
4 O 0.000 0.368 0.210
5 O 0.000 0.632 0.790
6 O 0.368 0.000 0.210
7 O 0.368 0.368 0.790
8 O 0.632 0.000 0.790
9 O 0.632 0.632 0.210

Values from the calculation:
**Total magnetization**: 2.01 Bohr magnetons per cell
**D(E_F)**: 1.79 states/eV/f.u.
**ΔE_f (raw)**: -2737 meV/atom
**Mass density**: 8.3 g/cm3
**Space-group type**: P-31m (162)

***

6.
Compound: U2Pb2O7
Source: the Alexandria database
Functional: PBE-GGA
Structure: optimized geometry

Cell lengths 5.479, 5.479, 5.733 Å; angles 90.00, 90.00, 97.77 degrees
Element x y z (fractional)
1 U 0.234 0.766 0.000
2 U 0.766 0.234 0.000
3 Pb 0.251 0.251 0.500
4 Pb 0.749 0.749 0.500
5 O 0.000 0.000 0.231
6 O 0.000 0.000 0.769
7 O 0.000 0.500 0.223
8 O 0.000 0.500 0.777
9 O 0.500 0.000 0.223
10 O 0.500 0.000 0.777
11 O 0.500 0.500 0.000

Values from the calculation:
**ΔE to the lowest computed polymorph**: 0.036 eV per atom
**Total magnetization**: 2.00 Bohr magnetons per cell
**D(E_F)**: 6.14 states/eV/f.u.
**ΔE_f (raw)**: -2445 meV/atom
**Mass density**: 9.8 g/cm3
**Space-group type**: Cmmm (65)

***

What did the second record say?
Compound: U2PbO8
Source: the Alexandria database
Functional: PBE-GGA
Structure: optimized geometry

Cell lengths 6.380, 6.380, 4.060 Å; angles 91.80, 91.80, 117.95 degrees
Element x y z (fractional)
1 U 0.183 0.817 0.000
2 U 0.817 0.183 0.000
3 Pb 0.500 0.500 0.500
4 O 0.061 0.061 0.357
5 O 0.159 0.431 0.974
6 O 0.237 0.763 0.500
7 O 0.431 0.159 0.974
8 O 0.569 0.841 0.026
9 O 0.763 0.237 0.500
10 O 0.841 0.569 0.026
11 O 0.939 0.939 0.643

Values from the calculation:
**Total magnetization**: 0.00 Bohr magnetons per cell
**ΔE_f (raw)**: -2347 meV/atom
**Mass density**: 9.2 g/cm3
**Space-group type**: C2/m (12)

***

What did the sixth record say?
Compound: U2Pb2O7
Source: the Alexandria database
Functional: PBE-GGA
Structure: optimized geometry

Cell lengths 5.479, 5.479, 5.733 Å; angles 90.00, 90.00, 97.77 degrees
Element x y z (fractional)
1 U 0.234 0.766 0.000
2 U 0.766 0.234 0.000
3 Pb 0.251 0.251 0.500
4 Pb 0.749 0.749 0.500
5 O 0.000 0.000 0.231
6 O 0.000 0.000 0.769
7 O 0.000 0.500 0.223
8 O 0.000 0.500 0.777
9 O 0.500 0.000 0.223
10 O 0.500 0.000 0.777
11 O 0.500 0.500 0.000

Values from the calculation:
**ΔE to the lowest computed polymorph**: 0.036 eV per atom
**Total magnetization**: 2.00 Bohr magnetons per cell
**D(E_F)**: 6.14 states/eV/f.u.
**ΔE_f (raw)**: -2445 meV/atom
**Mass density**: 9.8 g/cm3
**Space-group type**: Cmmm (65)

***

What is the formula in the second record? U2PbO8

***

Among the records above, which one has the highest ΔE_f (raw)? UPb2O5